# 1
The following is a GGA-PBE calculation of crystalline In4Pd15Pt at its relaxed geometry, from Alexandria.

Calculated values
- calculated total energy (eV/atom) = -5.0950
- energy of formation from the pure elements (meV per atom) = -351
- ρ (g/cm³) = 11.511
- M_tot (μB per formula unit) = 0.0

Cell lengths 4.0085, 4.0085, 20.2066 Å; angles 90.00, 90.00, 90.00 degrees
Fractional coordinates of all 20 atoms:
Pd 0.0000 0.5000 0.9030
Pd 0.5000 0.5000 0.1963
Pd 0.0000 0.5000 0.7024
Pd 0.5000 0.0000 0.2976
In 0.0000 0.0000 0.3993
In 0.0000 0.0000 0.8023
Pd 0.5000 0.5000 0.6015
Pd 0.0000 0.5000 0.2976
Pd 0.0000 0.5000 0.0970
Pd 0.5000 0.0000 0.5000
Pt 0.0000 0.0000 0.0000
Pd 0.5000 0.5000 0.3985
Pd 0.5000 0.0000 0.7024
In 0.0000 0.0000 0.6007
In 0.0000 0.0000 0.1977
Pd 0.5000 0.0000 0.9030
Pd 0.5000 0.5000 0.0000
Pd 0.0000 0.5000 0.5000
Pd 0.5000 0.5000 0.8037
Pd 0.5000 0.0000 0.0970

# 2
The following is a GGA-PBE calculation of crystalline Ba2HfTlTe at its relaxed geometry, from Alexandria.

Calculated values
- calculated total energy (eV/atom) = -3.5906
- ρ (g/cm³) = 5.916
- M_tot (μB per formula unit) = 2.8
- ΔE_f (raw) (eV per atom) = 0.271

Cell lengths 6.3516, 5.4625, 6.3516 Å; angles 90.00, 90.00, 90.00 degrees
Each line ends with the local moment (μB).
Fractional coordinates of all 5 atoms:
Ba 0.5000 0.0000 0.0000  0.14
Hf 0.0000 0.0000 0.0000  1.11
Tl 0.0000 0.5000 0.0000  0.12
Te 0.5000 0.5000 0.5000  0.08
Ba 0.0000 0.0000 0.5000  0.21

# 3
The following is a GGA-PBE calculation of crystalline ZnFe5Co4 at its relaxed geometry, from Alexandria.

Calculated values
- calculated total energy (eV/atom) = -7.1104
- energy of formation from the pure elements (meV per atom) = 91
- ρ (g/cm³) = 8.297
- ΔE to the lowest computed polymorph (kcal/mol of atoms) = 0.000
- M_tot (μB per formula unit) = 16.2

Cell lengths 2.7710, 2.7710, 15.1265 Å; angles 90.00, 90.00, 90.00 degrees
Each line ends with the local moment (μB).
Fractional coordinates of all 10 atoms:
Fe 0.5000 0.5000 0.3073  2.74
Fe 0.5000 0.5000 0.6927  2.74
Fe 0.5000 0.5000 0.8865  2.57
Fe 0.5000 0.5000 0.5000  -0.74
Zn 0.0000 0.0000 0.0000  -0.06
Co 0.0000 0.0000 0.3999  1.52
Co 0.0000 0.0000 0.7897  1.73
Co 0.0000 0.0000 0.6001  1.52
Fe 0.5000 0.5000 0.1135  2.57
Co 0.0000 0.0000 0.2103  1.73

What is the ρ in the first record? 11.511 g/cm³